i | This record from Alexandria via LeMat-Bulk describes a relaxed SiAg3Sn crystal. The functional is PBE.

abc: 4.845 4.845 4.845
angles: 90.00 90.00 90.00
Fractional coordinates of all 5 atoms:
Si1 0.000 0.000 0.000
Sn1 0.500 0.500 0.500
Ag1 0.000 0.500 0.000
Ag2 0.000 0.000 0.500
Ag3 0.500 0.000 0.000

Results
Total magnetization: 0.00 μB per cell
Crystal system: cubic



ii | This record from Alexandria via LeMat-Bulk describes a relaxed SiAg3Sn crystal. The functional is PBE.

abc: 5.165 5.165 5.165
angles: 90.00 90.00 90.00
Fractional coordinates of all 5 atoms:
Si1 0.500 0.500 0.500
Sn1 0.000 0.000 0.000
Ag1 0.000 0.500 0.000
Ag2 0.000 0.000 0.500
Ag3 0.500 0.000 0.000

Results
Total magnetization: 0.00 μB per cell
Crystal system: cubic



The structures above, arranged from the most stable to the least stable: i, ii.